(1)
DFT (GGA-PBE) results for a relaxed Ho4MgZn2 crystal.

## Properties
crystal system = trigonal
ΔE to the lowest computed polymorph = 0 meV per atom
electronic total energy = -23.261 eV per formula unit

Cell lengths 5.0622, 5.0622, 23.9578 Å; angles 90.00, 90.00, 120.00 degrees
Space group R-3m (No. 166, hexagonal axes)
Unique sites:
Ho 0.0000 0.0000 0.1112 [6 per cell]
Ho 0.0000 0.0000 0.3662 [6 per cell]
Mg 0.0000 0.0000 0.5000 [3 per cell]
Zn 0.0000 0.0000 0.2403 [6 per cell]


(2)
DFT (GGA-PBE) results for a relaxed HoMg2Zn2 crystal.

## Properties
crystal system = tetragonal
ΔE to the lowest computed polymorph = 94 meV per atom
electronic total energy = -10.850 eV per formula unit

Cell lengths 4.2060, 4.2060, 24.1094 Å; angles 90.00, 90.00, 90.00 degrees
Space group I4/mmm (No. 139)
Unique sites:
Ho 0.0000 0.0000 0.1213 [4 per cell]
Mg 0.0000 0.0000 0.3187 [4 per cell]
Mg 0.0000 0.5000 0.0000 [4 per cell]
Zn 0.0000 0.0000 0.4254 [4 per cell]
Zn 0.0000 0.5000 0.2500 [4 per cell]


(3)
DFT (GGA-PBE) results for a relaxed Ho7MgZn4 crystal.

## Properties
crystal system = monoclinic
electronic total energy = -39.150 eV per formula unit

Cell lengths 13.8640, 5.5667, 9.1684 Å; angles 90.00, 121.30, 90.00 degrees
Space group C2/m (No. 12)
Unique sites:
Ho 0.0000 0.0000 0.0000 [2 per cell]
Ho 0.0760 0.5000 0.4119 [4 per cell]
Ho 0.1949 0.5000 0.8789 [4 per cell]
Ho 0.2284 0.0000 0.6857 [4 per cell]
Mg 0.0000 0.5000 0.0000 [2 per cell]
Zn 0.0270 0.0000 0.6939 [4 per cell]
Zn 0.1820 0.0000 0.3383 [4 per cell]


(4)
DFT (GGA-PBE) results for a relaxed Ho3Mg2Zn3 crystal.

## Properties
crystal system = orthorhombic
electronic total energy = -22.606 eV per formula unit

Cell lengths 3.5018, 5.0808, 20.3744 Å; angles 90.00, 90.00, 90.00 degrees
Space group Immm (No. 71)
Unique sites:
Ho 0.0000 0.0000 0.0000 [2 per cell]
Ho 0.0000 0.5000 0.1217 [4 per cell]
Mg 0.0000 0.0000 0.2338 [4 per cell]
Zn 0.0000 0.0000 0.5000 [2 per cell]
Zn 0.0000 0.5000 0.3785 [4 per cell]


(5)
DFT (GGA-PBE) results for a relaxed Ho2MgZn7 crystal.

## Properties
crystal system = tetragonal
electronic total energy = -22.357 eV per formula unit

Cell lengths 4.0919, 4.0919, 11.2211 Å; angles 90.00, 90.00, 90.00 degrees
Space group P-4m2 (No. 115)
Unique sites:
Ho 0.0000 0.5000 0.2339 [2 per cell]
Mg 0.0000 0.0000 0.5000 [1 per cell]
Zn 0.0000 0.0000 0.0000 [1 per cell]
Zn 0.0000 0.5000 0.6502 [2 per cell]
Zn 0.0000 0.5000 0.8678 [2 per cell]
Zn 0.5000 0.5000 0.0000 [1 per cell]
Zn 0.5000 0.5000 0.5000 [1 per cell]


(6)
DFT (GGA-PBE) results for a relaxed Ho2Mg3Zn3 crystal.

## Properties
crystal system = trigonal
electronic total energy = -19.832 eV per formula unit

Cell lengths 4.8882, 4.8882, 24.0157 Å; angles 90.00, 90.00, 120.00 degrees
Space group R3m (No. 160, hexagonal axes)
Unique sites:
Ho 0.0000 0.0000 0.0000 [3 per cell]
Ho 0.0000 0.0000 0.4875 [3 per cell]
Mg 0.0000 0.0000 0.2475 [3 per cell]
Mg 0.0000 0.0000 0.7418 [3 per cell]
Mg 0.0000 0.0000 0.8710 [3 per cell]
Zn 0.0000 0.0000 0.1242 [3 per cell]
Zn 0.0000 0.0000 0.3671 [3 per cell]
Zn 0.0000 0.0000 0.6142 [3 per cell]